Entry 1:
TbSmDyTh PBE-GGA relaxed; energy = -5.1879 eV/atom; formation enthalpy at 0 K = 0.15 eV per atom; E above lowest polymorph = 12.86 kJ per mole of atoms
1.0
0.000 4.024 4.024
4.024 0.000 4.024
4.024 4.024 0.000
Tb Sm Dy Th
1 1 1 1
direct
0.000 0.000 0.000
0.250 0.250 0.250
0.500 0.500 0.500
0.750 0.750 0.750

Entry 2:
Si2Rh3 PBE-GGA relaxed; energy = -7.2432 eV/atom; E above lowest polymorph = 14.88 kJ per mole of atoms; formation energy from raw total energies = -0.663 eV/atom
1.0
-1.453 1.453 7.924
1.453 -1.453 7.924
1.453 1.453 -7.924
Si Rh
2 3
direct
0.102 0.102 0.000
0.898 0.898 0.000
0.318 0.318 0.000
0.500 0.500 0.000
0.682 0.682 0.000

Entry 3:
Cu2MoPt PBE-GGA relaxed; energy = -6.2313 eV/atom; formation enthalpy at 0 K = 0.03 eV per atom; E above lowest polymorph = 9.00 kJ per mole of atoms
1.0
4.437 -1.348 0.000
4.437 1.348 0.000
-0.739 0.000 4.714
Cu Mo Pt
2 1 1
direct
0.250 0.250 0.246
0.750 0.750 0.754
0.500 0.500 0.000
0.000 0.000 0.500

Entry 4:
BaVZnGe2 PBE-GGA relaxed; energy = -4.5511 eV/atom; formation enthalpy at 0 K = -0.24 eV per atom
1.0
4.841 0.000 0.000
0.000 4.841 0.000
0.000 0.000 5.028
Ba V Zn Ge
1 1 1 2
direct
0.000 0.000 0.000
0.500 0.500 0.500
0.500 0.500 0.000
0.000 0.500 0.500
0.500 0.000 0.500

Entry 5:
Dy2Ho8Sn PBE-GGA relaxed; energy = -4.6324 eV/atom; formation enthalpy at 0 K = -0.10 eV per atom
1.0
9.640 -2.750 0.000
9.640 2.750 0.000
-0.559 0.000 6.358
Dy Ho Sn
2 8 1
direct
0.244 0.244 0.336
0.756 0.756 0.664
0.044 0.044 0.265
0.154 0.154 0.805
0.338 0.338 0.876
0.422 0.422 0.401
0.578 0.578 0.599
0.662 0.662 0.124
0.846 0.846 0.195
0.956 0.956 0.735
0.500 0.500 0.000

Entry 6:
Na5Tl4Pd PBE-GGA relaxed; energy = -2.1999 eV/atom; formation enthalpy at 0 K = -0.07 eV per atom; E above lowest polymorph = 4.43 kJ per mole of atoms
1.0
9.441 -1.889 0.000
9.441 1.889 0.000
-1.754 0.000 8.400
Na Tl Pd
5 4 1
direct
0.000 0.000 0.000
0.301 0.301 0.849
0.389 0.389 0.258
0.611 0.611 0.742
0.699 0.699 0.151
0.182 0.182 0.513
0.443 0.443 0.691
0.557 0.557 0.309
0.818 0.818 0.487
0.000 0.000 0.500

Entry 7:
SrYP2 PBE-GGA relaxed; energy = -4.7873 eV/atom; formation enthalpy at 0 K = -0.05 eV per atom; E above lowest polymorph = 107.58 kJ per mole of atoms
1.0
0.000 3.536 3.536
3.536 0.000 3.536
3.536 3.536 0.000
Sr Y P
1 1 2
direct
0.000 0.000 0.000
0.250 0.250 0.250
0.500 0.500 0.500
0.750 0.750 0.750

Entry 8:
Sm2SnI PBE-GGA relaxed; energy = -4.4765 eV/atom; E above lowest polymorph = 11.30 kJ per mole of atoms; formation energy from raw total energies = -0.729 eV/atom
1.0
3.681 0.000 0.000
0.000 3.681 0.000
0.000 0.000 8.463
Sm Sn I
2 1 1
direct
0.000 0.000 0.242
0.000 0.000 0.758
0.500 0.500 0.000
0.500 0.500 0.500

Entry 9:
CsAg2GeSe4 PBE-GGA relaxed; energy = -3.5203 eV/atom; formation energy from raw total energies = -0.381 eV/atom
1.0
-3.500 3.860 4.456
3.500 -3.860 4.456
3.500 3.860 -4.456
Cs Ag Ge Se
1 2 1 4
direct
0.000 0.000 0.000
0.330 0.830 0.500
0.670 0.170 0.500
0.500 0.500 0.000
0.165 0.152 0.620
0.468 0.848 0.013
0.532 0.545 0.380
0.835 0.455 0.987

Entry 10:
CuAu PBE-GGA relaxed; energy = -3.6378 eV/atom; formation enthalpy at 0 K = 0.05 eV per atom
1.0
2.868 0.000 0.000
-1.434 2.484 0.000
0.000 0.000 4.334
Cu Au
1 1
direct
0.000 0.000 0.000
0.667 0.333 0.500

Entry 11:
DyErSc4 PBE-GGA relaxed; energy = -5.6849 eV/atom; formation enthalpy at 0 K = 0.06 eV per atom; E above lowest polymorph = 2.89 kJ per mole of atoms
1.0
3.276 -9.176 0.000
3.276 9.176 0.000
0.000 0.000 5.289
Dy Er Sc
2 2 8
direct
0.125 0.875 0.750
0.875 0.125 0.250
0.375 0.625 0.250
0.625 0.375 0.750
0.042 0.459 0.750
0.209 0.293 0.750
0.293 0.209 0.250
0.459 0.042 0.250
0.541 0.958 0.750
0.707 0.791 0.750
0.791 0.707 0.250
0.958 0.541 0.250

Entry 12:
LiCdPb2 PBE-GGA relaxed; energy = -2.4956 eV/atom; formation enthalpy at 0 K = 0.07 eV per atom
1.0
-4.108 4.108 3.252
4.108 -4.108 3.252
4.108 4.108 -3.252
Li Cd Pb
2 2 4
direct
0.000 0.000 0.000
0.750 0.250 0.500
0.250 0.750 0.500
0.500 0.500 0.000
0.120 0.625 0.995
0.375 0.370 0.495
0.630 0.125 0.005
0.875 0.880 0.505

Question: What is the formula in the second record?
Answer: Si2Rh3